Compound: Co2Ru2Rh
Source: the Alexandria database
Functional: PBE-GGA
Structure: relaxed

Geometry as POSCAR:
```
Co2Ru2Rh
1.0
-4.693 -3.616 -3.577
4.833 -1.653 -4.669
0.618 -2.208 1.421
Ru Rh Co
4 2 4
Direct
0.175 0.675 0.500
0.675 0.825 0.500
0.825 0.325 0.500
0.325 0.175 0.500
0.500 0.500 0.000
0.000 0.000 0.000
0.379 0.879 0.000
0.121 0.379 0.000
0.621 0.121 0.000
0.879 0.621 0.000
```

Summary:
ρ, g cm⁻³: 10.87
Energy above the most stable polymorph in this dataset, eV per atom: 0.000
Total magnetization, μB per atom: 0.355
Calculated total energy, eV/atom: -7.77
SG: P4/mbm
Formation energy, kcal/mol of atoms: 5.79